# 1
Density functional theory data (PBE) for a relaxed structure of Hf2PN.

Cell lengths 3.338, 3.338, 6.523 Å; angles 75.17, 75.17, 60.00 degrees
Sites, in units of the cell vectors:
Hf (0.091, 0.091, 0.728)
Hf (0.245, 0.245, 0.264)
P (0.668, 0.668, 0.997)
N (0.497, 0.497, 0.510)

Computed properties:
V (Å³/cell): 60.14
Energy relative to the elements, uncorrected (kcal/mol of atoms): -24.99
Spin magnetization (μB per atom): 0.00



# 2
Density functional theory data (PBE) for a relaxed structure of KNp2BeO8.

Cell lengths 4.877, 5.585, 6.994 Å; angles 94.80, 85.31, 81.50 degrees
Last column: magnetic moment on the atom in μB.
Sites, in units of the cell vectors:
K (0.000, 0.000, 0.500)  0.00
Np (0.475, 0.542, 0.761)  0.65
Np (0.525, 0.458, 0.239)  0.65
Be (0.000, 0.000, 0.000)  0.00
O (0.165, 0.636, 0.271)  -0.05
O (0.629, 0.674, 0.049)  -0.04
O (0.863, 0.183, 0.157)  -0.02
O (0.835, 0.364, 0.729)  -0.05
O (0.371, 0.326, 0.951)  -0.04
O (0.137, 0.817, 0.843)  -0.02
O (0.571, 0.715, 0.543)  -0.03
O (0.429, 0.285, 0.457)  -0.03

Computed properties:
V (Å³/cell): 186.86
Energy relative to the elements, uncorrected (kcal/mol of atoms): -53.98
Spin magnetization (μB per atom): 0.08



# 3
Density functional theory data (PBE) for a relaxed structure of ScCd2Sb.

Cell lengths 8.428, 8.428, 6.612 Å; angles 50.41, 50.41, 90.00 degrees
Sites, in units of the cell vectors:
Sc (0.500, 0.500, 0.000)
Sc (0.250, 0.750, 0.500)
Sb (0.000, 0.000, 0.000)
Sb (0.750, 0.250, 0.500)
Cd (0.642, 0.125, 0.250)
Cd (0.108, 0.625, 0.250)
Cd (0.375, 0.358, 0.750)
Cd (0.875, 0.892, 0.750)

Computed properties:
V (Å³/cell): 203.41
Energy relative to the elements, uncorrected (kcal/mol of atoms): -3.49
Spin magnetization (μB per atom): 0.00



# 4
Density functional theory data (PBE) for a relaxed structure of YTcN3.

Cell lengths 5.502, 4.731, 5.322 Å; angles 86.02, 88.92, 108.31 degrees
Sites, in units of the cell vectors:
Y (0.157, 0.337, 0.422)
Y (0.905, 0.756, 0.000)
Tc (0.562, 0.985, 0.511)
Tc (0.477, 0.134, 0.014)
N (0.761, 0.452, 0.604)
N (0.247, 0.886, 0.275)
N (0.661, 0.654, 0.557)
N (0.254, 0.998, 0.737)
N (0.817, 0.161, 0.162)
N (0.455, 0.488, 0.062)

Computed properties:
V (Å³/cell): 131.07
Energy relative to the elements, uncorrected (kcal/mol of atoms): -11.29
Spin magnetization (μB per atom): 0.00



# 5
Density functional theory data (PBE) for a relaxed structure of UPa2TlO8.

Cell lengths 5.502, 5.502, 6.720 Å; angles 114.17, 114.17, 90.00 degrees
Last column: magnetic moment on the atom in μB.
Sites, in units of the cell vectors:
U (0.750, 0.250, 0.500)  1.32
Pa (0.500, 0.500, 0.000)  0.03
Pa (0.250, 0.750, 0.500)  0.05
Tl (0.000, 0.000, 0.000)  -0.04
O (0.865, 0.865, 0.267)  -0.02
O (0.401, 0.402, 0.267)  -0.02
O (0.598, 0.598, 0.733)  -0.02
O (0.135, 0.135, 0.733)  -0.02
O (0.865, 0.402, 0.267)  -0.02
O (0.402, 0.865, 0.267)  -0.02
O (0.135, 0.599, 0.733)  -0.02
O (0.598, 0.135, 0.733)  -0.02

Computed properties:
V (Å³/cell): 165.88
Energy relative to the elements, uncorrected (kcal/mol of atoms): -68.85
Spin magnetization (μB per atom): 0.10



# 6
Density functional theory data (PBE) for a relaxed structure of K2TlAgSb.

Cell lengths 6.069, 5.368, 6.069 Å; angles 90.00, 90.00, 90.00 degrees
Last column: magnetic moment on the atom in μB.
Sites, in units of the cell vectors:
Sb (0.500, 0.500, 0.500)  0.24
Tl (0.000, 0.500, 0.000)  -0.01
K (0.000, 0.000, 0.500)  0.00
K (0.500, 0.000, 0.000)  0.00
Ag (0.000, 0.000, 0.000)  0.00

Computed properties:
V (Å³/cell): 197.72
Energy relative to the elements, uncorrected (kcal/mol of atoms): 2.76
Spin magnetization (μB per atom): 0.12



# 7
Density functional theory data (PBE) for a relaxed structure of ThUPt4.

Cell lengths 5.490, 5.490, 5.490 Å; angles 60.00, 60.00, 60.00 degrees
Last column: magnetic moment on the atom in μB.
Sites, in units of the cell vectors:
U (0.250, 0.250, 0.250)  2.38
Pt (0.625, 0.625, 0.126)  0.00
Pt (0.625, 0.126, 0.625)  0.00
Pt (0.625, 0.625, 0.625)  0.00
Pt (0.126, 0.625, 0.625)  0.00
Th (0.000, 0.000, 0.000)  0.21

Computed properties:
Energy of formation from the pure elements (eV per atom): -0.815
V (Å³/cell): 117.02
Spin magnetization (μB per atom): 0.48



# 8
Density functional theory data (PBE) for a relaxed structure of BaTl6Hg2.

Cell lengths 3.853, 9.469, 9.469 Å; angles 115.41, 78.27, 78.27 degrees
Sites, in units of the cell vectors:
Ba (0.000, 0.000, 0.000)
Tl (0.318, 0.001, 0.359)
Tl (0.682, 0.999, 0.641)
Tl (0.682, 0.641, 0.999)
Tl (0.500, 0.363, 0.637)
Tl (0.500, 0.637, 0.363)
Tl (0.318, 0.359, 0.001)
Hg (0.174, 0.328, 0.328)
Hg (0.826, 0.672, 0.672)

Computed properties:
Energy of formation from the pure elements (eV per atom): -0.118
V (Å³/cell): 288.60
Spin magnetization (μB per atom): 0.00



# 9
Density functional theory data (PBE) for a relaxed structure of CrPb4Au.

Cell lengths 6.325, 6.325, 6.325 Å; angles 60.00, 60.00, 60.00 degrees
Last column: magnetic moment on the atom in μB.
Sites, in units of the cell vectors:
Cr (0.000, 0.000, 0.000)  4.12
Pb (0.875, 0.375, 0.375)  -0.03
Pb (0.375, 0.375, 0.875)  -0.03
Pb (0.375, 0.875, 0.375)  -0.03
Pb (0.375, 0.375, 0.375)  -0.03
Au (0.750, 0.750, 0.750)  -0.04

Computed properties:
Energy of formation from the pure elements (eV per atom): 0.615
V (Å³/cell): 178.89
Spin magnetization (μB per atom): 0.74



# 10
Density functional theory data (PBE) for a relaxed structure of Pu2TcRu.

Cell lengths 3.387, 3.387, 6.705 Å; angles 90.00, 90.00, 90.00 degrees
Last column: magnetic moment on the atom in μB.
Sites, in units of the cell vectors:
Ru (0.500, 0.500, 0.500)  -0.70
Tc (0.500, 0.500, 0.000)  -0.89
Pu (0.000, 0.000, 0.749)  4.79
Pu (0.000, 0.000, 0.251)  4.79

Computed properties:
Energy of formation from the pure elements (eV per atom): -0.035
V (Å³/cell): 76.91
Spin magnetization (μB per atom): 2.07



# 11
Density functional theory data (PBE) for a relaxed structure of AcFeN2.

Cell lengths 5.677, 5.677, 6.545 Å; angles 90.00, 90.00, 120.00 degrees
Last column: magnetic moment on the atom in μB.
Sites, in units of the cell vectors:
Ac (0.348, 0.348, 0.000)  0.02
Ac (0.000, 0.652, 0.667)  0.02
Ac (0.652, 0.000, 0.333)  0.02
Fe (0.421, 0.421, 0.500)  1.23
Fe (0.000, 0.579, 0.167)  1.23
Fe (0.579, 0.000, 0.833)  1.23
N (0.855, 0.298, 0.967)  0.05
N (0.443, 0.145, 0.633)  0.05
N (0.702, 0.557, 0.300)  0.05
N (0.298, 0.855, 0.033)  0.05
N (0.145, 0.443, 0.367)  0.05
N (0.557, 0.702, 0.700)  0.05

Computed properties:
V (Å³/cell): 182.69
Energy relative to the elements, uncorrected (kcal/mol of atoms): -15.13
Spin magnetization (μB per atom): 0.36



# 12
Density functional theory data (PBE) for a relaxed structure of Rb3Ac2YSe6.

Cell lengths 7.778, 7.778, 8.449 Å; angles 98.85, 98.85, 120.00 degrees
Sites, in units of the cell vectors:
Rb (0.168, 0.832, 0.500)
Rb (0.832, 0.168, 0.500)
Rb (0.500, 0.500, 0.500)
Ac (0.333, 0.667, 0.000)
Ac (0.667, 0.333, 0.000)
Y (0.000, 0.000, 0.000)
Se (0.932, 0.617, 0.797)
Se (0.753, 0.753, 0.203)
Se (0.068, 0.383, 0.203)
Se (0.617, 0.932, 0.797)
Se (0.247, 0.247, 0.797)
Se (0.383, 0.068, 0.203)

Computed properties:
V (Å³/cell): 421.18
Energy relative to the elements, uncorrected (kcal/mol of atoms): -40.95
Spin magnetization (μB per atom): 0.00



# 13
Density functional theory data (PBE) for a relaxed structure of V2CrIn.

Cell lengths 2.924, 2.924, 8.493 Å; angles 80.09, 80.09, 60.00 degrees
Sites, in units of the cell vectors:
Cr (0.000, 0.000, 0.000)
V (0.263, 0.263, 0.210)
V (0.737, 0.737, 0.790)
In (0.500, 0.500, 0.500)

Computed properties:
Energy of formation from the pure elements (eV per atom): 0.298
V (Å³/cell): 61.62
Spin magnetization (μB per atom): 0.00



# 14
Density functional theory data (PBE) for a relaxed structure of Co5CuS8.

Cell lengths 6.637, 6.637, 6.637 Å; angles 60.00, 60.00, 60.00 degrees
Last column: magnetic moment on the atom in μB.
Sites, in units of the cell vectors:
Co (0.625, 0.625, 0.124)  0.01
Co (0.625, 0.124, 0.625)  0.01
Co (0.124, 0.625, 0.625)  0.01
Co (0.625, 0.625, 0.625)  0.01
Co (0.250, 0.250, 0.250)  0.51
Cu (0.000, 0.000, 0.000)  0.00
S (0.862, 0.862, 0.413)  0.01
S (0.862, 0.413, 0.862)  0.01
S (0.413, 0.862, 0.862)  0.01
S (0.862, 0.862, 0.862)  0.01
S (0.383, 0.383, 0.852)  0.01
S (0.383, 0.852, 0.383)  0.01
S (0.852, 0.383, 0.383)  0.01
S (0.383, 0.383, 0.383)  0.01

Computed properties:
V (Å³/cell): 206.74
Energy relative to the elements, uncorrected (kcal/mol of atoms): -9.53
Spin magnetization (μB per atom): 0.05



# 15
Density functional theory data (PBE) for a relaxed structure of NpFeSn.

Cell lengths 4.520, 4.520, 4.520 Å; angles 60.00, 60.00, 60.00 degrees
Last column: magnetic moment on the atom in μB.
Sites, in units of the cell vectors:
Np (0.000, 0.000, 0.000)  3.44
Sn (0.500, 0.500, 0.500)  -0.10
Fe (0.250, 0.250, 0.250)  -2.21

Computed properties:
Energy of formation from the pure elements (eV per atom): 0.103
V (Å³/cell): 65.31
Spin magnetization (μB per atom): 0.38



# 16
Density functional theory data (PBE) for a relaxed structure of K3Pu2ZrTe6.

Cell lengths 7.730, 7.730, 8.634 Å; angles 98.61, 98.61, 120.01 degrees
Last column: magnetic moment on the atom in μB.
Sites, in units of the cell vectors:
K (0.171, 0.829, 0.500)  0.00
K (0.829, 0.171, 0.500)  0.00
K (0.500, 0.500, 0.500)  0.00
Pu (0.334, 0.666, 0.000)  5.33
Pu (0.666, 0.334, 0.000)  5.33
Zr (0.000, 0.000, 0.000)  0.32
Te (0.931, 0.614, 0.793)  -0.06
Te (0.753, 0.753, 0.208)  -0.07
Te (0.069, 0.386, 0.207)  -0.06
Te (0.614, 0.931, 0.793)  -0.06
Te (0.247, 0.247, 0.792)  -0.07
Te (0.386, 0.069, 0.207)  -0.06

Computed properties:
V (Å³/cell): 426.22
Energy relative to the elements, uncorrected (kcal/mol of atoms): -24.82
Spin magnetization (μB per atom): 0.92



# 17
Density functional theory data (PBE) for a relaxed structure of CdOs2Cl.

Cell lengths 2.790, 2.790, 8.352 Å; angles 90.00, 90.00, 90.00 degrees
Sites, in units of the cell vectors:
Cl (0.500, 0.500, 0.750)
Os (0.000, 0.000, 0.987)
Os (0.000, 0.000, 0.513)
Cd (0.500, 0.500, 0.250)

Computed properties:
V (Å³/cell): 65.02
Energy relative to the elements, uncorrected (kcal/mol of atoms): 29.95
Spin magnetization (μB per atom): 0.00



# 18
Density functional theory data (PBE) for a relaxed structure of ZnSnMoIr2.

Cell lengths 4.552, 4.628, 4.552 Å; angles 90.00, 90.00, 90.00 degrees
Last column: magnetic moment on the atom in μB.
Sites, in units of the cell vectors:
Zn (0.000, 0.000, 0.000)  0.03
Mo (0.000, 0.500, 0.000)  1.37
Ir (0.000, 0.000, 0.500)  0.10
Ir (0.500, 0.000, 0.000)  0.13
Sn (0.500, 0.500, 0.500)  -0.04

Computed properties:
Energy of formation from the pure elements (eV per atom): 1.231
V (Å³/cell): 95.90
Spin magnetization (μB per atom): 0.35



# 19
Density functional theory data (PBE) for a relaxed structure of YCdHg.

Cell lengths 5.009, 5.009, 5.009 Å; angles 60.00, 60.00, 60.00 degrees
Sites, in units of the cell vectors:
Cd (0.000, 0.000, 0.000)
Hg (0.500, 0.500, 0.500)
Y (0.750, 0.750, 0.750)

Computed properties:
Energy of formation from the pure elements (eV per atom): -0.001
V (Å³/cell): 88.85
Spin magnetization (μB per atom): 0.00



# 20
Density functional theory data (PBE) for a relaxed structure of Ce2SbO3.

Cell lengths 3.863, 6.911, 9.903 Å; angles 107.60, 90.00, 106.23 degrees
Last column: magnetic moment on the atom in μB.
Sites, in units of the cell vectors:
Ce (0.494, 0.987, 0.752)  0.24
Ce (0.506, 0.013, 0.248)  0.24
Ce (0.843, 0.686, 0.425)  0.44
Ce (0.157, 0.314, 0.575)  0.44
Sb (0.888, 0.775, 0.958)  -0.01
Sb (0.112, 0.225, 0.042)  -0.01
O (0.330, 0.661, 0.577)  -0.02
O (0.989, 0.978, 0.635)  -0.01
O (0.642, 0.283, 0.693)  -0.02
O (0.358, 0.717, 0.307)  -0.02
O (0.011, 0.022, 0.365)  -0.01
O (0.670, 0.339, 0.423)  -0.02

Computed properties:
V (Å³/cell): 240.91
Energy relative to the elements, uncorrected (kcal/mol of atoms): -64.10
Spin magnetization (μB per atom): 0.11



# 21
Density functional theory data (PBE) for a relaxed structure of LiCaTc.

Cell lengths 4.106, 4.106, 33.600 Å; angles 90.00, 90.00, 120.00 degrees
Sites, in units of the cell vectors:
Ca (0.000, 0.000, 0.482)
Ca (0.333, 0.667, 0.148)
Ca (0.667, 0.333, 0.815)
Ca (0.000, 0.000, 0.611)
Ca (0.333, 0.667, 0.277)
Ca (0.667, 0.333, 0.944)
Tc (0.000, 0.000, 0.885)
Tc (0.333, 0.667, 0.551)
Tc (0.667, 0.333, 0.218)
Tc (0.000, 0.000, 0.208)
Tc (0.333, 0.667, 0.875)
Tc (0.667, 0.333, 0.541)
Li (0.000, 0.000, 0.020)
Li (0.333, 0.667, 0.687)
Li (0.667, 0.333, 0.354)
Li (0.000, 0.000, 0.735)
Li (0.333, 0.667, 0.402)
Li (0.667, 0.333, 0.069)

Computed properties:
Energy of formation from the pure elements (eV per atom): 0.212
V (Å³/cell): 490.48
Spin magnetization (μB per atom): 0.00



# 22
Density functional theory data (PBE) for a relaxed structure of PrPuAlAg.

Cell lengths 5.265, 5.265, 5.265 Å; angles 60.00, 60.00, 60.00 degrees
Last column: magnetic moment on the atom in μB.
Sites, in units of the cell vectors:
Pr (0.500, 0.500, 0.500)  0.13
Al (0.750, 0.750, 0.750)  -0.01
Ag (0.250, 0.250, 0.250)  0.05
Pu (0.000, 0.000, 0.000)  5.43

Computed properties:
Energy of formation from the pure elements (eV per atom): -0.075
V (Å³/cell): 103.18
Spin magnetization (μB per atom): 1.53



# 23
Density functional theory data (PBE) for a relaxed structure of K2ZrPt.

Cell lengths 3.602, 3.602, 10.869 Å; angles 90.00, 90.00, 90.00 degrees
Sites, in units of the cell vectors:
K (0.000, 0.000, 0.943)
K (0.500, 0.500, 0.333)
Pt (0.000, 0.000, 0.566)
Zr (0.500, 0.500, 0.657)

Computed properties:
Energy of formation from the pure elements (eV per atom): -0.106
V (Å³/cell): 141.00
Spin magnetization (μB per atom): 0.00



# 24
Density functional theory data (PBE) for a relaxed structure of SiBr2F.

Cell lengths 6.779, 6.990, 7.184 Å; angles 99.69, 107.21, 108.30 degrees
Sites, in units of the cell vectors:
Si (0.112, 0.404, 0.307)
Si (0.773, 0.245, 0.022)
Br (0.213, 0.153, 0.401)
Br (0.798, 0.035, 0.772)
Br (0.058, 0.590, 0.556)
Br (0.364, 0.611, 0.214)
F (0.576, 0.111, 0.085)
F (0.702, 0.424, 0.942)

Computed properties:
V (Å³/cell): 295.64
Energy relative to the elements, uncorrected (kcal/mol of atoms): -33.54
Spin magnetization (μB per atom): 0.00



# 25
Density functional theory data (PBE) for a relaxed structure of CdWC2.

Cell lengths 5.086, 5.086, 5.949 Å; angles 64.69, 64.69, 90.00 degrees
Sites, in units of the cell vectors:
C (0.689, 0.125, 0.250)
C (0.061, 0.625, 0.250)
C (0.375, 0.311, 0.750)
C (0.875, 0.939, 0.750)
W (0.000, 0.000, 0.000)
W (0.750, 0.250, 0.500)
Cd (0.500, 0.500, 0.000)
Cd (0.250, 0.750, 0.500)

Computed properties:
Energy of formation from the pure elements (eV per atom): 0.760
V (Å³/cell): 122.60
Spin magnetization (μB per atom): 0.00